Entry 1:
## Pr2SmHo2Er2 (PBE)

Data for a relaxed structure of Pr2SmHo2Er2.

Lattice parameters (Å, degrees): 6.1379 6.1379 11.8756 108.23 108.23 33.39
Atoms (fractional coordinates):
Pr  0.1712  0.1712  0.0845
Pr  0.8288  0.8288  0.9155
Sm  0.5000  0.5000  0.5000
Ho  0.0494  0.0494  0.7692
Ho  0.9506  0.9506  0.2308
Er  0.2741  0.2741  0.6354
Er  0.7259  0.7259  0.3646

Final energy: -31.956 eV for the cell shown
D(E_F): 1.69 states/eV/atom
Crystal system: monoclinic

=====

Entry 2:
## DyThCoI (PBE)

Data for a relaxed structure of DyThCoI.

Lattice parameters (Å, degrees): 4.0225 4.0225 8.3809 103.92 103.92 60.22
Atoms (fractional coordinates):
Dy  0.0000  0.0000  0.0000
Th  0.2192  0.2192  0.6536
Co  0.6046  0.6046  0.8135
I  0.7718  0.7718  0.3149

Raw formation energy: -600 meV/atom
D(E_F): 0.64 states/eV/atom
Crystal system: monoclinic

=====

Entry 3:
## Th4RuC2N (PBE)

Data for a relaxed structure of Th4RuC2N.

Lattice parameters (Å, degrees): 6.6644 3.7683 6.7035 90.00 108.30 90.00
Atoms (fractional coordinates):
Th  0.2328  0.0000  0.2312
Th  0.2488  0.5000  0.7516
Th  0.7512  0.5000  0.2484
Th  0.7672  0.0000  0.7688
Ru  0.5000  0.5000  0.5000
C  0.0000  0.5000  0.0000
C  0.5000  0.0000  0.0000
N  0.0000  0.0000  0.5000

Raw formation energy: -484 meV/atom
D(E_F): 0.70 states/eV/atom
Crystal system: monoclinic